Material: Sr2InPt
Method: DFT, PBE
State: optimized geometry

Cell: 5.266 5.266 5.266 Å, 119.84 119.84 90.27°
Atoms (fractional coordinates):
Sr1 0.000 0.000 0.000
Sr2 0.750 0.250 0.500
In1 0.500 0.500 0.000
Pt1 0.250 0.750 0.500

Values from the calculation:
Space-group type: No. 119
DOS(E_F) (states/eV/atom): 1.046
Magnetization (Bohr magnetons per cell): 0.00
Calculated formation energy (eV/atom): -0.35